Material: Er2Tm4Th
Method: DFT, PBE-GGA
State: optimized geometry

Calculated values
Space-group type: No. 12
Total DFT energy (no corrections): -4.777 eV per atom
Formation enthalpy at 0 K: 0.142 eV per atom
ΔE to the lowest computed polymorph: 0.124 eV per atom

```
Er2Tm4Th
1.0
3.402 0.000 0.000
0.000 8.559 0.133
-1.701 -3.988 7.423
Er Tm Th
2 4 1
direct
0.223 0.150 0.445 Er
0.777 0.850 0.555 Er
0.920 0.300 0.841 Tm
0.632 0.400 0.264 Tm
0.368 0.600 0.736 Tm
0.080 0.700 0.159 Tm
0.000 0.000 0.000 Th
```

Material: Er3Tm4Th2
Method: DFT, PBE-GGA
State: optimized geometry

Calculated values
Space-group type: No. 15
Total DFT energy (no corrections): -5.038 eV per atom
Formation enthalpy at 0 K: 0.119 eV per atom

```
Er3Tm4Th2
1.0
5.703 1.635 1.171
2.067 10.813 0.635
2.067 4.085 10.032
Tm Th Er
8 4 6
direct
0.079 0.815 0.086 Tm
0.579 0.086 0.815 Tm
0.908 0.855 0.583 Tm
0.421 0.914 0.185 Tm
0.921 0.185 0.914 Tm
0.408 0.583 0.855 Tm
0.092 0.145 0.417 Tm
0.592 0.417 0.145 Tm
0.916 0.524 0.247 Th
0.584 0.753 0.476 Th
0.416 0.247 0.524 Th
0.084 0.476 0.753 Th
0.257 0.272 0.060 Er
0.743 0.728 0.940 Er
0.243 0.940 0.728 Er
0.250 0.610 0.390 Er
0.757 0.060 0.272 Er
0.750 0.390 0.610 Er
```

Material: Er3TmTh2
Method: DFT, PBE-GGA
State: optimized geometry

Calculated values
Space-group type: No. 11
Total DFT energy (no corrections): -5.474 eV per atom
Formation enthalpy at 0 K: 0.026 eV per atom
ΔE to the lowest computed polymorph: 0.000 eV per atom

```
Er3TmTh2
1.0
3.548 0.000 0.000
0.000 9.891 1.078
0.000 -1.154 10.494
Tm Th Er
2 4 6
direct
0.750 0.124 0.249 Tm
0.250 0.876 0.751 Tm
0.750 0.122 0.916 Th
0.750 0.623 0.583 Th
0.250 0.377 0.417 Th
0.250 0.878 0.084 Th
0.250 0.376 0.749 Er
0.750 0.130 0.582 Er
0.750 0.631 0.918 Er
0.750 0.624 0.251 Er
0.250 0.870 0.418 Er
0.250 0.369 0.082 Er
```

Material: Er10TmTh4
Method: DFT, PBE-GGA
State: optimized geometry

Calculated values
Space-group type: No. 139
Total DFT energy (no corrections): -5.023 eV per atom
Formation enthalpy at 0 K: 0.296 eV per atom

```
Er10TmTh4
1.0
7.049 0.000 3.183
3.525 7.927 1.592
0.263 0.000 8.816
Er Th Tm
10 4 1
direct
0.916 0.791 0.792 Er
0.707 0.792 0.209 Er
0.750 0.500 0.500 Er
0.084 0.209 0.208 Er
0.292 0.792 0.209 Er
0.250 0.500 0.500 Er
0.293 0.208 0.791 Er
0.501 0.791 0.792 Er
0.499 0.209 0.208 Er
0.708 0.208 0.791 Er
0.228 0.999 0.545 Th
0.773 0.455 0.999 Th
0.227 0.545 0.001 Th
0.772 0.001 0.455 Th
0.000 0.000 0.000 Tm
```

Material: Er7Tm2Th2
Method: DFT, PBE-GGA
State: optimized geometry

Calculated values
Space-group type: No. 12
Total DFT energy (no corrections): -4.877 eV per atom
Formation enthalpy at 0 K: 0.189 eV per atom
ΔE to the lowest computed polymorph: 0.008 eV per atom

```
Er7Tm2Th2
1.0
-1.810 7.809 2.898
-4.411 -3.966 0.365
-0.835 -3.908 7.529
Tm Er Th
2 7 2
direct
0.763 0.111 0.237 Tm
0.237 0.889 0.763 Tm
0.000 0.000 0.000 Er
0.408 0.179 0.060 Er
0.940 0.179 0.592 Er
0.592 0.376 0.408 Er
0.408 0.624 0.592 Er
0.060 0.821 0.408 Er
0.592 0.821 0.940 Er
0.790 0.500 0.790 Th
0.210 0.500 0.210 Th
```

Material: Er5TmTh3
Method: DFT, PBE-GGA
State: optimized geometry

Calculated values
Space-group type: No. 12
Total DFT energy (no corrections): -4.940 eV per atom
Formation enthalpy at 0 K: 0.565 eV per atom

```
Er5TmTh3
1.0
7.384 0.455 -0.786
2.459 6.978 -0.786
2.328 1.758 11.924
Er Tm Th
10 2 6
direct
0.671 0.329 0.000 Er
0.672 0.062 0.776 Er
0.328 0.938 0.224 Er
0.743 0.743 0.023 Er
0.257 0.257 0.977 Er
0.062 0.672 0.776 Er
0.558 0.558 0.379 Er
0.938 0.328 0.224 Er
0.442 0.442 0.621 Er
0.329 0.671 0.000 Er
0.140 0.140 0.733 Tm
0.860 0.860 0.267 Tm
0.000 0.000 0.000 Th
0.740 0.740 0.545 Th
0.622 0.622 0.783 Th
0.000 0.000 0.500 Th
0.260 0.260 0.455 Th
0.378 0.378 0.217 Th
```

Material: Er4TmTh2
Method: DFT, PBE-GGA
State: optimized geometry

Calculated values
Space-group type: No. 63
Total DFT energy (no corrections): -5.172 eV per atom
Formation enthalpy at 0 K: 0.194 eV per atom

```
Er4TmTh2
1.0
-0.914 5.484 0.342
-0.798 -3.240 4.455
15.783 2.346 4.535
Tm Er Th
2 8 4
direct
0.500 0.001 0.750 Tm
0.500 0.999 0.250 Tm
0.833 0.666 0.352 Er
0.167 0.334 0.852 Er
0.833 0.666 0.148 Er
0.500 0.000 0.000 Er
0.167 0.334 0.648 Er
0.166 0.332 0.250 Er
0.500 0.000 0.500 Er
0.834 0.668 0.750 Er
0.834 0.667 0.557 Th
0.166 0.333 0.057 Th
0.834 0.667 0.943 Th
0.166 0.333 0.443 Th
```

Material: Er5Tm3Th
Method: DFT, PBE-GGA
State: optimized geometry

Calculated values
Space-group type: No. 193
Total DFT energy (no corrections): -4.782 eV per atom
Formation enthalpy at 0 K: 0.068 eV per atom

```
Er5Tm3Th
1.0
6.884 0.000 0.000
0.000 9.596 0.000
0.000 -4.798 8.310
Er Tm Th
10 6 2
direct
0.000 0.333 0.667 Er
0.750 0.000 0.666 Er
0.250 0.666 0.666 Er
0.500 0.667 0.333 Er
0.750 0.666 0.000 Er
0.000 0.667 0.333 Er
0.500 0.333 0.667 Er
0.250 0.334 0.000 Er
0.250 0.000 0.334 Er
0.750 0.334 0.334 Er
0.250 0.333 0.333 Tm
0.750 0.333 0.000 Tm
0.750 0.000 0.333 Tm
0.250 0.667 0.000 Tm
0.750 0.667 0.667 Tm
0.250 0.000 0.667 Tm
0.000 0.000 0.000 Th
0.500 0.000 0.000 Th
```

Material: Er6Tm12Th
Method: DFT, PBE-GGA
State: optimized geometry

Calculated values
Space-group type: No. 148
Total DFT energy (no corrections): -4.502 eV per atom
Formation enthalpy at 0 K: 0.153 eV per atom
ΔE to the lowest computed polymorph: 0.000 eV per atom

```
Er6Tm12Th
1.0
-8.268 -0.092 -1.536
-0.776 -7.673 3.353
-1.683 3.226 7.582
Tm Er Th
12 6 1
direct
0.455 0.562 0.227 Tm
0.652 0.993 0.785 Tm
0.438 0.773 0.545 Tm
0.562 0.227 0.455 Tm
0.993 0.785 0.652 Tm
0.215 0.348 0.007 Tm
0.227 0.455 0.562 Tm
0.773 0.545 0.438 Tm
0.785 0.652 0.993 Tm
0.007 0.215 0.348 Tm
0.348 0.007 0.215 Tm
0.545 0.438 0.773 Tm
0.089 0.685 0.254 Er
0.911 0.315 0.746 Er
0.685 0.254 0.089 Er
0.746 0.911 0.315 Er
0.315 0.746 0.911 Er
0.254 0.089 0.685 Er
0.000 0.000 0.000 Th
```

Material: ErTm5Th5
Method: DFT, PBE-GGA
State: optimized geometry

Calculated values
Space-group type: No. 187
Total DFT energy (no corrections): -5.413 eV per atom
Formation enthalpy at 0 K: 0.407 eV per atom

```
ErTm5Th5
1.0
-6.249 0.136 -0.417
3.468 -0.756 -5.162
-0.333 -11.003 1.388
Tm Th Er
5 5 1
direct
0.000 0.000 0.000 Tm
0.667 0.333 0.181 Tm
0.333 0.667 0.673 Tm
0.667 0.333 0.819 Tm
0.333 0.667 0.327 Tm
0.000 0.000 0.268 Th
0.000 0.000 0.732 Th
0.827 0.173 0.500 Th
0.346 0.173 0.500 Th
0.827 0.654 0.500 Th
0.333 0.667 0.000 Er
```

Material: ErTm3Th5
Method: DFT, PBE-GGA
State: optimized geometry

Calculated values
Space-group type: No. 140
Total DFT energy (no corrections): -5.665 eV per atom
Formation enthalpy at 0 K: 0.455 eV per atom

```
ErTm3Th5
1.0
-4.448 3.220 -7.340
2.700 -7.302 -4.840
-4.947 -1.437 8.091
Tm Th Er
6 10 2
direct
0.896 0.604 0.000 Tm
0.750 0.750 0.500 Tm
0.604 0.104 0.000 Tm
0.250 0.250 0.500 Tm
0.396 0.896 0.000 Tm
0.104 0.396 0.000 Tm
0.580 0.666 0.747 Th
0.920 0.420 0.253 Th
0.500 0.500 0.000 Th
0.080 0.580 0.747 Th
0.420 0.334 0.253 Th
0.000 0.000 0.000 Th
0.334 0.834 0.253 Th
0.666 0.166 0.747 Th
0.834 0.920 0.253 Th
0.166 0.080 0.747 Th
0.750 0.250 0.500 Er
0.250 0.750 0.500 Er
```

Material: Er2Tm12Th5
Method: DFT, PBE-GGA
State: optimized geometry

Calculated values
Space-group type: No. 12
Total DFT energy (no corrections): -5.039 eV per atom
Formation enthalpy at 0 K: 0.218 eV per atom

```
Er2Tm12Th5
1.0
-5.128 1.761 -4.440
-3.732 -4.028 8.243
-3.224 7.006 6.502
Th Tm Er
5 12 2
direct
0.680 0.359 0.791 Th
0.187 0.374 0.817 Th
0.320 0.641 0.209 Th
0.000 0.000 0.500 Th
0.813 0.626 0.183 Th
0.413 0.332 0.487 Tm
0.082 0.668 0.513 Tm
0.918 0.332 0.487 Tm
0.587 0.668 0.513 Tm
0.911 0.314 0.138 Tm
0.598 0.686 0.862 Tm
0.089 0.686 0.862 Tm
0.974 0.948 0.235 Tm
0.505 0.009 0.678 Tm
0.026 0.052 0.765 Tm
0.495 0.991 0.322 Tm
0.402 0.314 0.138 Tm
0.285 0.000 0.000 Er
0.715 0.000 0.000 Er
```